The following is a DFT calculation (PBE-GGA) of a relaxed Tb3Pr4Tm crystal.

Properties
SG ... No. 12
Theoretical density ... 7.3 g cm⁻³
Energy of formation from the pure elements ... 0.161 eV per atom
Size of the total moment ... 0.0 μB per cell

abc: 11.977 11.977 6.880
angles: 106.49 106.49 16.87
Positions (direct):
Tb  0.000  0.000  0.000
Tb  0.121  0.121  0.382
Tb  0.879  0.879  0.618
Pr  0.123  0.123  0.866
Pr  0.259  0.259  0.266
Pr  0.741  0.741  0.734
Pr  0.877  0.877  0.134
Tm  0.500  0.500  0.500


The following is a DFT calculation (PBE-GGA) of a relaxed Tb9PrTm2 crystal.

Properties
SG ... No. 191
Theoretical density ... 8.2 g cm⁻³
Energy of formation from the pure elements ... 0.033 eV per atom
Size of the total moment ... 0.0 μB per cell

abc: 11.259 11.259 3.516
angles: 90.00 90.00 120.00
Positions (direct):
Tb  0.000  0.500  0.000
Tb  0.179  0.357  0.500
Tb  0.179  0.821  0.500
Tb  0.357  0.179  0.500
Tb  0.500  0.000  0.000
Tb  0.500  0.500  0.000
Tb  0.643  0.821  0.500
Tb  0.821  0.179  0.500
Tb  0.821  0.643  0.500
Pr  0.000  0.000  0.000
Tm  0.333  0.667  0.000
Tm  0.667  0.333  0.000


The following is a DFT calculation (PBE-GGA) of a relaxed Tb3Pr5Tm4 crystal.

Properties
SG ... No. 12
Theoretical density ... 7.7 g cm⁻³
Energy of formation from the pure elements ... 0.249 eV per atom
Size of the total moment ... 0.2 μB per cell

abc: 6.925 6.925 11.054
angles: 95.23 95.23 49.55
Positions (direct):
Tb  0.000  0.000  0.000
Tb  0.245  0.245  0.891
Tb  0.755  0.755  0.109
Pr  0.103  0.103  0.590
Pr  0.150  0.150  0.270
Pr  0.500  0.500  0.000
Pr  0.850  0.850  0.730
Pr  0.897  0.897  0.410
Tm  0.357  0.357  0.546
Tm  0.426  0.426  0.246
Tm  0.574  0.574  0.754
Tm  0.643  0.643  0.454


The following is a DFT calculation (PBE-GGA) of a relaxed Tb3Pr2Tm5 crystal.

Properties
SG ... No. 15
Theoretical density ... 8.2 g cm⁻³
Energy of formation from the pure elements ... 0.191 eV per atom
Size of the total moment ... 0.0 μB per cell

abc: 9.530 9.530 9.381
angles: 107.95 107.95 112.94
Positions (direct):
Tb  0.037  0.279  0.049
Tb  0.227  0.773  0.750
Tb  0.279  0.037  0.549
Tb  0.721  0.963  0.451
Tb  0.773  0.227  0.250
Tb  0.963  0.721  0.951
Pr  0.232  0.484  0.452
Pr  0.484  0.232  0.952
Pr  0.516  0.768  0.048
Pr  0.768  0.516  0.548
Tm  0.027  0.973  0.750
Tm  0.113  0.348  0.718
Tm  0.268  0.732  0.250
Tm  0.348  0.113  0.218
Tm  0.478  0.522  0.250
Tm  0.522  0.478  0.750
Tm  0.652  0.887  0.782
Tm  0.732  0.268  0.750
Tm  0.887  0.652  0.282
Tm  0.973  0.027  0.250


The following is a DFT calculation (PBE-GGA) of a relaxed Tb7Pr6Tm16 crystal.

Properties
SG ... No. 225
Theoretical density ... 7.9 g cm⁻³
Energy of formation from the pure elements ... 0.238 eV per atom
Size of the total moment ... 0.0 μB per cell

abc: 11.141 11.141 11.141
angles: 60.00 60.00 60.00
Positions (direct):
Tb  0.000  0.000  0.000
Tb  0.000  0.000  0.500
Tb  0.000  0.500  0.000
Tb  0.000  0.500  0.500
Tb  0.500  0.000  0.000
Tb  0.500  0.000  0.500
Tb  0.500  0.500  0.000
Pr  0.267  0.267  0.733
Pr  0.267  0.733  0.267
Pr  0.267  0.733  0.733
Pr  0.733  0.267  0.267
Pr  0.733  0.267  0.733
Pr  0.733  0.733  0.267
Tm  0.050  0.650  0.650
Tm  0.129  0.129  0.129
Tm  0.129  0.129  0.613
Tm  0.129  0.613  0.129
Tm  0.350  0.350  0.350
Tm  0.350  0.350  0.950
Tm  0.350  0.950  0.350
Tm  0.387  0.871  0.871
Tm  0.613  0.129  0.129
Tm  0.650  0.050  0.650
Tm  0.650  0.650  0.050
Tm  0.650  0.650  0.650
Tm  0.871  0.387  0.871
Tm  0.871  0.871  0.387
Tm  0.871  0.871  0.871
Tm  0.950  0.350  0.350


The following is a DFT calculation (PBE-GGA) of a relaxed Tb3Pr4Tm2 crystal.

Properties
SG ... No. 12
Theoretical density ... 7.4 g cm⁻³
Energy of formation from the pure elements ... 0.085 eV per atom
Size of the total moment ... 0.0 μB per cell

abc: 6.714 6.714 14.474
angles: 115.01 115.01 31.69
Positions (direct):
Tb  0.000  0.000  0.000
Tb  0.008  0.008  0.388
Tb  0.992  0.992  0.612
Pr  0.222  0.222  0.872
Pr  0.283  0.283  0.391
Pr  0.717  0.717  0.609
Pr  0.778  0.778  0.128
Tm  0.452  0.452  0.791
Tm  0.548  0.548  0.209


The following is a DFT calculation (PBE-GGA) of a relaxed Tb9Pr11Tm4 crystal.

Properties
SG ... No. 65
Theoretical density ... 7.4 g cm⁻³
Energy of formation from the pure elements ... 0.055 eV per atom
Size of the total moment ... 0.0 μB per cell

abc: 15.544 15.544 3.670
angles: 90.00 90.00 113.19
Positions (direct):
Tb  0.000  0.000  0.000
Tb  0.130  0.666  0.000
Tb  0.286  0.431  0.000
Tb  0.334  0.870  0.000
Tb  0.431  0.286  0.000
Tb  0.569  0.714  0.000
Tb  0.666  0.130  0.000
Tb  0.714  0.569  0.000
Tb  0.870  0.334  0.000
Pr  0.095  0.457  0.500
Pr  0.131  0.869  0.500
Pr  0.207  0.207  0.500
Pr  0.339  0.661  0.500
Pr  0.457  0.095  0.500
Pr  0.500  0.500  0.500
Pr  0.543  0.905  0.500
Pr  0.661  0.339  0.500
Pr  0.793  0.793  0.500
Pr  0.869  0.131  0.500
Pr  0.905  0.543  0.500
Tm  0.056  0.260  0.000
Tm  0.260  0.056  0.000
Tm  0.740  0.944  0.000
Tm  0.944  0.740  0.000


The following is a DFT calculation (PBE-GGA) of a relaxed Tb6Pr5Tm crystal.

Properties
SG ... No. 2
Theoretical density ... 7.5 g cm⁻³
Energy of formation from the pure elements ... 0.018 eV per atom
Size of the total moment ... 0.0 μB per cell

abc: 6.245 7.256 9.584
angles: 112.18 90.39 90.06
Positions (direct):
Tb  0.000  0.248  0.000
Tb  0.000  0.752  0.000
Tb  0.333  0.084  0.669
Tb  0.333  0.585  0.669
Tb  0.667  0.415  0.331
Tb  0.667  0.916  0.331
Pr  0.165  0.667  0.334
Pr  0.170  0.165  0.331
Pr  0.500  0.500  0.000
Pr  0.830  0.835  0.669
Pr  0.835  0.333  0.666
Tm  0.500  0.000  0.000


The following is a DFT calculation (PBE-GGA) of a relaxed Tb6PrTm2 crystal.

Properties
SG ... No. 12
Theoretical density ... 8.3 g cm⁻³
Energy of formation from the pure elements ... 0.018 eV per atom
Size of the total moment ... 0.0 μB per cell

abc: 9.420 9.420 8.713
angles: 90.17 90.17 21.82
Positions (direct):
Tb  0.111  0.111  0.165
Tb  0.222  0.222  0.835
Tb  0.332  0.332  0.501
Tb  0.668  0.668  0.499
Tb  0.778  0.778  0.165
Tb  0.889  0.889  0.835
Pr  0.000  0.000  0.500
Tm  0.444  0.444  0.164
Tm  0.556  0.556  0.836


The following is a DFT calculation (PBE-GGA) of a relaxed Tb5Pr2Tm12 crystal.

Properties
SG ... No. 12
Theoretical density ... 8.5 g cm⁻³
Energy of formation from the pure elements ... 0.134 eV per atom
Size of the total moment ... 0.0 μB per cell

abc: 9.081 9.081 8.461
angles: 91.27 91.27 60.69
Positions (direct):
Tb  0.000  0.000  0.000
Tb  0.233  0.233  0.077
Tb  0.302  0.302  0.492
Tb  0.698  0.698  0.508
Tb  0.767  0.767  0.923
Pr  0.313  0.687  0.500
Pr  0.687  0.313  0.500
Tm  0.024  0.664  0.253
Tm  0.093  0.093  0.383
Tm  0.182  0.564  0.848
Tm  0.336  0.976  0.747
Tm  0.436  0.818  0.152
Tm  0.444  0.444  0.171
Tm  0.556  0.556  0.829
Tm  0.564  0.182  0.848
Tm  0.664  0.024  0.253
Tm  0.818  0.436  0.152
Tm  0.907  0.907  0.617
Tm  0.976  0.336  0.747


The following is a DFT calculation (PBE-GGA) of a relaxed Tb5Pr2Tm6 crystal.

Properties
SG ... No. 55
Theoretical density ... 8.3 g cm⁻³
Energy of formation from the pure elements ... 0.102 eV per atom
Size of the total moment ... 0.0 μB per cell

abc: 11.653 20.197 3.561
angles: 90.00 90.00 90.00
Positions (direct):
Tb  0.000  0.000  0.000
Tb  0.092  0.280  0.000
Tb  0.200  0.552  0.000
Tb  0.300  0.052  0.000
Tb  0.408  0.780  0.000
Tb  0.500  0.500  0.000
Tb  0.592  0.220  0.000
Tb  0.700  0.948  0.000
Tb  0.800  0.448  0.000
Tb  0.908  0.720  0.000
Pr  0.168  0.718  0.500
Pr  0.332  0.218  0.500
Pr  0.668  0.782  0.500
Pr  0.832  0.282  0.500
Tm  0.060  0.423  0.500
Tm  0.076  0.135  0.500
Tm  0.181  0.875  0.000
Tm  0.319  0.375  0.000
Tm  0.424  0.635  0.500
Tm  0.440  0.923  0.500
Tm  0.560  0.077  0.500
Tm  0.576  0.365  0.500
Tm  0.681  0.625  0.000
Tm  0.819  0.125  0.000
Tm  0.924  0.865  0.500
Tm  0.940  0.577  0.500


The following is a DFT calculation (PBE-GGA) of a relaxed Tb4Pr3Tm5 crystal.

Properties
SG ... No. 12
Theoretical density ... 8.0 g cm⁻³
Energy of formation from the pure elements ... 0.238 eV per atom
Size of the total moment ... 0.0 μB per cell

abc: 8.508 8.508 9.300
angles: 114.50 114.50 40.81
Positions (direct):
Tb  0.083  0.083  0.443
Tb  0.208  0.208  0.878
Tb  0.792  0.792  0.122
Tb  0.917  0.917  0.557
Pr  0.210  0.210  0.234
Pr  0.500  0.500  0.000
Pr  0.790  0.790  0.766
Tm  0.000  0.000  0.000
Tm  0.329  0.329  0.614
Tm  0.428  0.428  0.305
Tm  0.572  0.572  0.695
Tm  0.671  0.671  0.386


- Look up the theoretical density of the first one.
  7.3 g cm⁻³


- size of the total moment of number 9 (Tb6PrTm2)?
  0.0 μB per cell